SrPm2NiO5: optimized geometry, PBE with a Hubbard U.

Unit cell a=5.681 b=6.626 c=6.626 alpha=90.00 beta=90.00 gamma=90.00
Atoms (fractional coordinates):
Sr (0.000, 0.500, 0.500)
Sr (0.000, 0.000, 0.000)
Pm (0.500, 0.673, 0.173)
Pm (0.500, 0.173, 0.327)
Pm (0.500, 0.827, 0.673)
Pm (0.500, 0.327, 0.827)
Ni (0.000, 0.000, 0.500)
Ni (0.000, 0.500, 0.000)
O (0.500, 0.500, 0.500)
O (0.500, 0.000, 0.000)
O (0.237, 0.139, 0.639)
O (0.237, 0.861, 0.361)
O (0.237, 0.361, 0.139)
O (0.237, 0.639, 0.861)
O (0.763, 0.139, 0.639)
O (0.763, 0.639, 0.861)
O (0.763, 0.861, 0.361)
O (0.763, 0.361, 0.139)

Results
For the density of states at the Fermi level, the calculation gives 0.00 states/eV per cell. As for the energy: -6.948 eV/atom. As for the volume: 124.7 Å³/f.u.